Run A
# Li4DyPd2

Li4DyPd2 after structural relaxation (PBE-GGA, the Alexandria database).

DOS at the Fermi energy = 2.94 states/eV/cell
M_tot = 0.0 μB per formula unit

Geometry as extended XYZ:
```
7
Lattice="3.934 0.000 0.000 0.000 3.703 -0.816 0.000 -0.017 8.735" Properties=species:S:1:pos:R:3 pbc="T T T"
Li 1.967 0.675 3.064
Li 0.000 1.191 5.407
Li 1.967 3.011 4.855
Dy 0.000 0.000 0.000
Li 0.000 2.495 2.512
Pd 1.967 1.545 7.014
Pd 1.967 2.141 0.905
```

=====

Run B
# Li4DyPd2

Li4DyPd2 after structural relaxation (PBE-GGA, the Alexandria database).

DOS at the Fermi energy = 6.34 states/eV/cell
M_tot = 0.0 μB per formula unit

Geometry as extended XYZ:
```
14
Lattice="-1.224 -2.459 -3.086 7.257 -0.604 -2.397 0.976 -6.130 4.499" Properties=species:S:1:pos:R:3 pbc="T T T"
Li 3.882 -2.529 -2.289
Dy 4.116 -3.367 1.051
Li 1.083 -4.992 0.783
Pd 5.977 -1.729 -0.992
Li 5.619 -5.919 2.489
Pd 2.255 -5.004 3.094
Pd 1.827 -3.225 -0.920
Pd 5.181 -5.968 -0.064
Dy -0.612 -1.230 -1.543
Li 2.614 -0.814 -0.387
Li 3.127 -6.664 1.305
Li 7.178 -4.548 0.778
Li 1.055 -2.186 1.324
Li 5.926 -4.201 -1.767
```

=====

It is run A that is the least stable of them.

=====

Run A
# LiPmDyZn

LiPmDyZn after structural relaxation (PBE-GGA, the Alexandria database).

DOS at the Fermi energy = 5.67 states/eV/cell
M_tot = 0.0 μB per formula unit

Geometry as extended XYZ:
```
4
Lattice="-4.813 -1.345 1.316 -2.734 -3.140 -3.062 -1.010 -4.840 1.504" Properties=species:S:1:pos:R:3 pbc="T T T"
Pm -2.139 -2.331 -0.060
Zn 0.000 0.000 0.000
Li -4.279 -4.663 -0.121
Dy -6.418 -6.994 -0.181
```

=====

Run B
# LiPmDyZn

LiPmDyZn after structural relaxation (PBE-GGA, the Alexandria database).

DOS at the Fermi energy = 4.61 states/eV/cell
M_tot = 0.0 μB per formula unit

Geometry as extended XYZ:
```
4
Lattice="-0.963 -2.331 2.666 0.892 -2.833 -2.155 6.912 0.167 2.642" Properties=species:S:1:pos:R:3 pbc="T T T"
Li 5.984 0.144 2.287
Dy 0.827 -2.561 0.585
Pm 4.045 -2.483 1.815
Zn 2.399 0.058 0.917
```

=====

It is run A that is the least stable of them.

=====

Run A
# LiPr2Dy

LiPr2Dy after structural relaxation (PBE-GGA, the Alexandria database).

DOS at the Fermi energy = 3.59 states/eV/cell
M_tot = 0.0 μB per formula unit

Geometry as extended XYZ:
```
4
Lattice="3.617 0.000 -0.001 1.808 3.133 -0.001 1.807 1.043 11.426" Properties=species:S:1:pos:R:3 pbc="T T T"
Dy 3.617 2.088 5.718
Pr 1.808 1.044 2.819
Pr 1.806 1.043 8.611
Li 5.425 3.132 11.414
```

=====

Run B
# LiPr2Dy

LiPr2Dy after structural relaxation (PBE-GGA, the Alexandria database).

DOS at the Fermi energy = 5.15 states/eV/cell
M_tot = 0.0 μB per formula unit

Geometry as extended XYZ:
```
4
Lattice="-2.699 4.560 1.894 -0.247 1.031 5.527 2.913 4.285 2.196" Properties=species:S:1:pos:R:3 pbc="T T T"
Pr -0.008 2.469 2.404
Li 0.000 0.000 0.000
Dy -0.016 4.938 4.808
Pr -0.024 7.407 7.213
```

=====

Run C
# LiPr2Dy

LiPr2Dy after structural relaxation (PBE-GGA, the Alexandria database).

DOS at the Fermi energy = 5.59 states/eV/cell
M_tot = 0.0 μB per formula unit

Geometry as extended XYZ:
```
4
Lattice="-2.961 1.225 -1.786 -2.091 -2.405 1.817 -1.429 6.293 6.686" Properties=species:S:1:pos:R:3 pbc="T T T"
Pr -1.099 4.840 5.143
Dy -3.241 2.556 3.359
Li -2.526 -0.590 0.016
Pr -0.330 1.453 1.543
```

=====

Run D
# LiPr2Dy

LiPr2Dy after structural relaxation (PBE-GGA, the Alexandria database).

DOS at the Fermi energy = 4.12 states/eV/cell
M_tot = 0.0 μB per formula unit

Geometry as extended XYZ:
```
4
Lattice="3.571 0.000 0.000 -1.785 3.092 0.000 0.000 0.000 11.983" Properties=species:S:1:pos:R:3 pbc="T T T"
Li 1.785 1.031 6.280
Pr 0.000 2.062 9.147
Dy 0.000 0.000 0.097
Pr 1.785 1.031 2.989
```

=====

It is run B that is the least stable of them.

=====

Run A
# Li2DyPt

Li2DyPt after structural relaxation (PBE-GGA, the Alexandria database).

DOS at the Fermi energy = 1.54 states/eV/cell
M_tot = 0.0 μB per formula unit

Geometry as extended XYZ:
```
4
Lattice="-1.961 2.408 -2.532 -2.954 0.094 2.680 2.131 4.054 2.206" Properties=species:S:1:pos:R:3 pbc="T T T"
Li -2.903 0.210 2.418
Pt -1.640 2.700 2.481
Li -2.509 1.136 0.336
Dy -1.144 3.857 -0.126
```

=====

Run B
# Li2DyPt

Li2DyPt after structural relaxation (PBE-GGA, the Alexandria database).

DOS at the Fermi energy = 4.18 states/eV/cell
M_tot = 0.0 μB per formula unit

Geometry as extended XYZ:
```
4
Lattice="4.564 0.000 0.000 2.282 3.953 0.000 2.282 1.318 3.736" Properties=species:S:1:pos:R:3 pbc="T T T"
Li 2.282 1.318 0.938
Dy 0.000 0.000 0.000
Li 6.846 3.953 2.798
Pt 4.564 2.635 1.868
```

=====

It is run B that is the least stable of them.

=====

Run A
# LiDyPt

LiDyPt after structural relaxation (PBE-GGA, the Alexandria database).

DOS at the Fermi energy = 0.80 states/eV/cell
M_tot = 0.0 μB per formula unit

Geometry as extended XYZ:
```
3
Lattice="4.599 0.000 0.000 2.300 3.983 0.000 2.300 1.328 3.755" Properties=species:S:1:pos:R:3 pbc="T T T"
Dy 0.000 0.000 0.000
Li 4.599 2.655 1.878
Pt 2.300 1.328 0.939
```

=====

Run B
# LiDyPt

LiDyPt after structural relaxation (PBE-GGA, the Alexandria database).

DOS at the Fermi energy = 4.64 states/eV/cell
M_tot = 0.0 μB per formula unit

Geometry as extended XYZ:
```
9
Lattice="4.021 0.000 0.000 0.000 6.190 -3.574 0.000 0.000 7.147" Properties=species:S:1:pos:R:3 pbc="T T T"
Li 0.000 6.190 -1.883
Dy 2.010 2.517 1.453
Li 0.000 1.465 -0.846
Li 0.000 4.725 2.728
Dy 2.010 6.190 0.668
Pt 0.000 2.063 3.574
Dy 2.010 3.673 -2.121
Pt 0.000 4.126 0.000
Pt 2.010 6.189 -3.574
```

=====

It is run A that is the least stable of them.

=====

Run A
# LiDyPt

LiDyPt after structural relaxation (PBE-GGA, the Alexandria database).

DOS at the Fermi energy = 1.73 states/eV/cell
M_tot = 0.0 μB per formula unit

Geometry as extended XYZ:
```
3
Lattice="3.635 0.000 0.000 0.000 3.635 0.000 -1.817 -1.817 4.453" Properties=species:S:1:pos:R:3 pbc="T T T"
Li 1.817 1.817 1.154
Pt 0.000 0.000 2.529
Dy 1.817 1.817 3.887
```

=====

Run B
# LiDyPt

LiDyPt after structural relaxation (PBE-GGA, the Alexandria database).

DOS at the Fermi energy = 1.58 states/eV/cell
M_tot = 0.0 μB per formula unit

Geometry as extended XYZ:
```
3
Lattice="-2.326 2.675 -0.977 -3.231 -2.814 -0.016 0.958 2.141 3.585" Properties=species:S:1:pos:R:3 pbc="T T T"
Pt -0.826 0.935 2.222
Li -0.388 0.446 -0.163
Dy -3.384 0.621 0.534
```

=====

It is run A that is the least stable of them.

=====

Run A
# LiDy2Pt4

LiDy2Pt4 after structural relaxation (PBE-GGA, the Alexandria database).

DOS at the Fermi energy = 5.59 states/eV/cell
M_tot = 0.0 μB per formula unit

Geometry as extended XYZ:
```
14
Lattice="-4.738 -4.848 4.939 1.341 -4.601 -3.230 3.842 1.280 4.942" Properties=species:S:1:pos:R:3 pbc="T T T"
Pt -0.292 -7.597 2.946
Pt 0.737 -0.573 3.705
Dy 1.511 -5.451 3.221
Pt -0.179 -4.664 -1.188
Li 0.000 0.000 0.000
Pt -3.218 -4.786 2.897
Dy 3.209 -0.726 2.366
Pt -0.849 -2.363 0.427
Dy -1.066 -2.719 3.430
Pt 1.407 -2.873 2.090
Li -1.699 -4.725 0.855
Pt -0.962 -5.296 4.561
Dy 1.974 -2.595 -0.654
Pt -2.549 -7.087 1.282
```

=====

Run B
# LiDy2Pt4

LiDy2Pt4 after structural relaxation (PBE-GGA, the Alexandria database).

DOS at the Fermi energy = 1.68 states/eV/cell
M_tot = 0.0 μB per formula unit

Geometry as extended XYZ:
```
7
Lattice="-5.150 -1.439 -2.841 0.284 -5.586 2.318 0.366 4.711 3.401" Properties=species:S:1:pos:R:3 pbc="T T T"
Pt -3.644 -2.588 -1.411
Dy -0.892 -2.194 2.729
Li -4.500 -2.315 2.878
Pt -3.517 -5.077 -0.378
Dy -3.608 -0.120 0.149
Pt -1.349 -1.948 -0.145
Pt -0.855 0.273 4.290
```

=====

It is run B that is the least stable of them.

=====

Run A
# LiDyPtRh

LiDyPtRh after structural relaxation (PBE-GGA, the Alexandria database).

DOS at the Fermi energy = 1.37 states/eV/cell
M_tot = 0.0 μB per formula unit

Geometry as extended XYZ:
```
4
Lattice="-4.359 1.478 0.120 -2.639 -0.309 -3.760 -3.463 -3.031 -0.139" Properties=species:S:1:pos:R:3 pbc="T T T"
Li -5.231 -0.931 -1.889
Rh -2.615 -0.466 -0.945
Pt -7.846 -1.397 -2.834
Dy 0.000 0.000 0.000
```

=====

Run B
# LiDyPtRh

LiDyPtRh after structural relaxation (PBE-GGA, the Alexandria database).

DOS at the Fermi energy = 2.15 states/eV/cell
M_tot = 0.0 μB per formula unit

Geometry as extended XYZ:
```
4
Lattice="3.798 0.000 0.000 0.000 4.123 0.000 0.000 0.000 4.329" Properties=species:S:1:pos:R:3 pbc="T T T"
Dy 1.899 0.000 2.164
Li 1.899 2.062 0.000
Rh 0.000 2.062 2.164
Pt 0.000 0.000 0.000
```

=====

It is run A that is the least stable of them.